DFT (PBE) results for a geometry-optimized BaCa4Au4 structure.

Output
- Fermi-level density of states: 6.29 states/eV/f.u.
- Calculated formation energy: -658 meV per atom
- E: -57.93 eV for the cell shown

Unit cell a=9.8869 b=9.8869 c=5.9597 alpha=90.00 beta=90.00 gamma=90.00
Space group P4_2/n (No. 86, origin choice 2)
One atom of each set of equivalent atoms:
Ba 0.2500 0.2500 0.2500
Ca 0.0945 0.6453 0.1574
Au 0.0502 0.6039 0.6553